DFT (PBE) results for CaTePt after structural relaxation.

```
data_CaTePt
_cell_length_a 5.621
_cell_length_b 4.206
_cell_length_c 6.632
_cell_angle_alpha 90.00
_cell_angle_beta 90.00
_cell_angle_gamma 90.00
_symmetry_space_group_name_H-M 'P m m a'
_symmetry_Int_Tables_number 51
_symmetry_space_group_name_Hall '-P 2a 2a'
loop_
_atom_site_label
_atom_site_type_symbol
_atom_site_fract_x
_atom_site_fract_y
_atom_site_fract_z
Ca1 Ca 0.250 0.000 0.242
Te1 Te 0.250 0.500 0.833
Pt1 Pt 0.000 0.500 0.500
```

Summary:
The value obtained for the magnetic moment is 0.00 μB/cell. The density of states at the Fermi level is 1.168 states/eV per cell. The raw formation energy is -1015 meV per atom.

=====

DFT (PBE) results for CaTePt after structural relaxation.

```
data_CaTePt
_cell_length_a 4.080
_cell_length_b 4.080
_cell_length_c 8.883
_cell_angle_alpha 90.00
_cell_angle_beta 90.00
_cell_angle_gamma 90.00
_symmetry_space_group_name_H-M 'I 4 m m'
_symmetry_Int_Tables_number 107
_symmetry_space_group_name_Hall 'I 4 -2'
loop_
_atom_site_label
_atom_site_type_symbol
_atom_site_fract_x
_atom_site_fract_y
_atom_site_fract_z
Ca1 Ca 0.000 0.000 0.000
Te1 Te 0.000 0.000 0.661
Pt1 Pt 0.000 0.000 0.367
```

Summary:
The value obtained for the magnetic moment is 0.00 μB/cell. The density of states at the Fermi level is 2.040 states/eV per cell. The raw formation energy is -646 meV per atom.

=====

DFT (PBE) results for CaTePt after structural relaxation.

```
data_CaTePt
_cell_length_a 4.335
_cell_length_b 4.335
_cell_length_c 8.667
_cell_angle_alpha 104.43
_cell_angle_beta 104.32
_cell_angle_gamma 90.00
_symmetry_space_group_name_H-M 'P 1'
_symmetry_Int_Tables_number 1
_symmetry_space_group_name_Hall 'P 1'
loop_
_atom_site_label
_atom_site_type_symbol
_atom_site_fract_x
_atom_site_fract_y
_atom_site_fract_z
Ca1 Ca 0.000 0.000 0.000
Ca2 Ca 0.251 0.749 0.500
Te1 Te 0.588 0.588 0.177
Te2 Te 0.838 0.337 0.677
Pt1 Pt 0.427 0.430 0.857
Pt2 Pt 0.682 0.178 0.356
```

Summary:
The value obtained for the magnetic moment is 0.00 μB/cell. The density of states at the Fermi level is 1.817 states/eV per cell. The raw formation energy is -974 meV per atom.